Record 1
{
  "formula": "RbCaIn6",
  "functional": "PBE",
  "state": "relaxed",
  "cell": [[5.0866, 0.0000, 0.0000], [0.0000, 6.6719, 0.0000], [0.0000, 0.0000, 7.3107]],
  "species": ["In", "In", "In", "In", "Ca", "Rb", "In", "In"],
  "fractional_positions": [[0.5000, 0.8698, 0.2824], [0.0000, 0.1537, 0.7229], [0.5000, 0.2208, 0.0000], [0.0000, 0.7195, 0.5000], [0.5000, 0.3852, 0.5000], [0.0000, 0.6273, 0.0000], [0.5000, 0.8698, 0.7176], [0.0000, 0.1537, 0.2771]],
  "vol_a3_per_cell": 248.1,
  "delta_e_f_ev_per_atom": -0.1317,
  "final_energy_ev_per_atom": -2.557,
  "spacegroup": "Pmm2"
}

Record 2
{
  "formula": "Sr2CeUS6",
  "functional": "PBE",
  "state": "relaxed",
  "cell": [[5.3734, 0.0000, 0.0000], [0.0000, 7.4859, 0.0000], [0.0000, 0.0000, 7.4859]],
  "species": ["S", "S", "S", "S", "Sr", "S", "S", "Sr", "U", "Ce"],
  "fractional_positions": [[0.7074, 0.2449, 0.7551], [0.7074, 0.7551, 0.2449], [0.7074, 0.2449, 0.2449], [0.7074, 0.7551, 0.7551], [0.9992, 0.5000, 0.0000], [0.1477, 0.5000, 0.5000], [0.1727, 0.0000, 0.0000], [0.9992, 0.0000, 0.5000], [0.6626, 0.0000, 0.0000], [0.6356, 0.5000, 0.5000]],
  "vol_a3_per_cell": 301.1,
  "formation_energy_uncorrected_ev_per_atom": -1.664,
  "final_energy_ev_per_atom": -6.199,
  "spacegroup": "P4mm"
}

Record 3
{
  "formula": "TaMoAu2",
  "functional": "PBE",
  "state": "relaxed",
  "cell": [[0.0000, 3.2725, 3.2725], [3.2725, 0.0000, 3.2725], [3.2725, 3.2725, 0.0000]],
  "species": ["Mo", "Au", "Au", "Ta"],
  "fractional_positions": [[0.0000, 0.0000, 0.0000], [0.7500, 0.7500, 0.7500], [0.2500, 0.2500, 0.2500], [0.5000, 0.5000, 0.5000]],
  "vol_a3_per_cell": 70.1,
  "delta_e_f_ev_per_atom": 0.3893,
  "final_energy_ev_per_atom": -6.920,
  "spacegroup": "Fm-3m",
  "de_polymorph_ev_per_fu": 1.443
}

Record 4
{
  "formula": "YTa2P",
  "functional": "PBE",
  "state": "relaxed",
  "cell": [[-2.0977, 1.5008, -1.6646], [-0.6168, 0.5813, 2.9505], [5.1731, 6.9181, -0.2816]],
  "species": ["Ta", "Ta", "P", "Y"],
  "fractional_positions": [[0.0000, 0.0000, 0.8060], [0.0000, 0.0000, 0.1940], [0.5000, 0.5000, 0.0000], [0.5000, 0.5000, 0.5000]],
  "vol_a3_per_cell": 77.9,
  "delta_e_f_ev_per_atom": -0.0142,
  "final_energy_ev_per_atom": -8.909,
  "spacegroup": "Cmmm"
}

Record 5
{
  "formula": "TaCd2Ru",
  "functional": "PBE",
  "state": "relaxed",
  "cell": [[4.8796, -0.0374, 0.0000], [1.0899, 4.7565, 0.0000], [-2.9847, -2.3595, 3.0554]],
  "species": ["Cd", "Ta", "Ru", "Cd"],
  "fractional_positions": [[0.0000, 0.0000, 0.0000], [0.7500, 0.2500, 0.5000], [0.5000, 0.5000, 0.0000], [0.2500, 0.7500, 0.5000]],
  "vol_a3_per_cell": 71.0,
  "delta_e_f_ev_per_atom": 0.2897,
  "final_energy_ev_per_atom": -5.450,
  "spacegroup": "I-4m2",
  "de_polymorph_ev_per_fu": 1.106
}

Record 6
{
  "formula": "Al2MoOs2",
  "functional": "PBE",
  "state": "relaxed",
  "cell": [[-1.8224, -0.0932, 2.2804], [2.2057, 0.2112, 1.7713], [0.3728, 9.4257, 0.6832]],
  "species": ["Os", "Mo", "Os", "Al", "Al"],
  "fractional_positions": [[0.5000, 0.5969, 0.8063], [0.0000, 0.0000, 0.0000], [0.5000, 0.4031, 0.1937], [0.0000, 0.1843, 0.6314], [0.0000, 0.8157, 0.3686]],
  "vol_a3_per_cell": 77.5,
  "delta_e_f_ev_per_atom": -0.1505,
  "final_energy_ev_per_atom": -8.306,
  "spacegroup": "Cmmm",
  "de_polymorph_ev_per_fu": 0.000
}